1.
{"formula": "Cu2TeAs", "functional": "PBE", "state": "optimized geometry", "raw_formation_energy_ev_per_atom": 0.190, "space_group": "Cmmm", "lattice": [[-0.384, 0.586, 3.791], [3.298, -3.024, 0.801], [3.618, 2.738, -0.057]], "species": ["As", "Cu", "Cu", "Te"], "frac_coords": [[0.500, 0.750, 0.750], [0.000, 0.974, 0.974], [0.000, 0.526, 0.526], [0.500, 0.250, 0.250]]}

2.
{"formula": "Si2NiS", "functional": "PBE", "state": "optimized geometry", "raw_formation_energy_ev_per_atom": 0.026, "space_group": "I-42d", "lattice": [[-1.387, 5.040, -1.485], [-2.958, -2.019, -4.088], [-6.093, 1.299, 0.155]], "species": ["Ni", "Ni", "S", "S", "Si", "Si", "Si", "Si"], "frac_coords": [[0.000, 0.000, 0.000], [0.750, 0.250, 0.500], [0.500, 0.500, 0.000], [0.250, 0.750, 0.500], [0.654, 0.125, 0.250], [0.096, 0.625, 0.250], [0.375, 0.346, 0.750], [0.875, 0.904, 0.750]]}

3.
{"formula": "Sr3Ti2GaO9", "functional": "PBE", "state": "optimized geometry", "raw_formation_energy_ev_per_atom": -2.760, "space_group": "P-3m1", "lattice": [[5.583, 0.000, 0.000], [-2.792, 4.835, 0.000], [0.000, 0.000, 6.840]], "species": ["Sr", "Sr", "Sr", "Ti", "Ti", "Ga", "O", "O", "O", "O", "O", "O", "O", "O", "O"], "frac_coords": [[0.333, 0.667, 0.667], [0.000, 0.000, 0.000], [0.667, 0.333, 0.333], [0.333, 0.667, 0.173], [0.667, 0.333, 0.827], [0.000, 0.000, 0.500], [0.832, 0.168, 0.669], [0.832, 0.665, 0.669], [0.335, 0.168, 0.669], [0.665, 0.832, 0.331], [0.168, 0.335, 0.331], [0.168, 0.832, 0.331], [0.500, 0.000, 0.000], [0.000, 0.500, 0.000], [0.500, 0.500, 0.000]]}

4.
{"formula": "CaScNi2", "functional": "PBE", "state": "optimized geometry", "space_group": "P4/mmm", "ef_mev_per_atom": -182, "lattice": [[-0.469, 0.154, 7.314], [-3.400, -0.021, -3.169], [-1.306, -2.621, 1.416]], "species": ["Sc", "Ni", "Ni", "Ca"], "frac_coords": [[0.000, 0.500, 0.500], [0.000, 0.000, 0.000], [0.500, 0.000, 0.500], [0.500, 0.500, 0.000]]}

5.
{"formula": "CePr2Ho12", "functional": "PBE", "state": "optimized geometry", "space_group": "Pmmm", "ef_mev_per_atom": 181, "lattice": [[6.479, -1.536, 0.000], [-1.536, 6.479, 0.000], [0.000, 0.000, 24.782]], "species": ["Ce", "Ce", "Pr", "Pr", "Pr", "Pr", "Ho", "Ho", "Ho", "Ho", "Ho", "Ho", "Ho", "Ho", "Ho", "Ho", "Ho", "Ho", "Ho", "Ho", "Ho", "Ho", "Ho", "Ho", "Ho", "Ho", "Ho", "Ho", "Ho", "Ho"], "frac_coords": [[0.500, 0.000, 0.000], [0.000, 0.500, 0.000], [0.500, 0.000, 0.268], [0.000, 0.500, 0.268], [0.000, 0.500, 0.732], [0.500, 0.000, 0.732], [0.500, 0.500, 0.802], [0.000, 0.000, 0.802], [0.750, 0.750, 0.924], [0.250, 0.750, 0.875], [0.000, 0.000, 0.327], [0.250, 0.750, 0.125], [0.750, 0.250, 0.585], [0.500, 0.500, 0.327], [0.250, 0.250, 0.924], [0.750, 0.750, 0.076], [0.250, 0.250, 0.562], [0.750, 0.250, 0.415], [0.000, 0.000, 0.673], [0.250, 0.250, 0.438], [0.250, 0.250, 0.076], [0.750, 0.750, 0.438], [0.750, 0.750, 0.562], [0.000, 0.000, 0.198], [0.250, 0.750, 0.585], [0.500, 0.500, 0.673], [0.750, 0.250, 0.875], [0.500, 0.500, 0.198], [0.250, 0.750, 0.415], [0.750, 0.250, 0.125]]}

6.
{"formula": "Li5Mg", "functional": "PBE", "state": "optimized geometry", "space_group": "P-62m", "ef_mev_per_atom": -16, "lattice": [[-2.766, 2.844, -3.488], [-1.628, -4.843, 1.342], [-2.713, 1.948, 3.740]], "species": ["Li", "Li", "Li", "Li", "Li", "Mg"], "frac_coords": [[0.999, 0.000, 0.000], [0.668, 0.334, 0.000], [0.333, 0.666, 0.000], [0.000, 0.333, 0.500], [0.667, 0.667, 0.500], [0.333, 0.000, 0.500]]}

Which formula does entry 2 have?
Si2NiS

Repeat the second record exactly.
{"formula": "Si2NiS", "functional": "PBE", "state": "optimized geometry", "raw_formation_energy_ev_per_atom": 0.026, "space_group": "I-42d", "lattice": [[-1.387, 5.040, -1.485], [-2.958, -2.019, -4.088], [-6.093, 1.299, 0.155]], "species": ["Ni", "Ni", "S", "S", "Si", "Si", "Si", "Si"], "frac_coords": [[0.000, 0.000, 0.000], [0.750, 0.250, 0.500], [0.500, 0.500, 0.000], [0.250, 0.750, 0.500], [0.654, 0.125, 0.250], [0.096, 0.625, 0.250], [0.375, 0.346, 0.750], [0.875, 0.904, 0.750]]}

Which formula does entry 1 have?
Cu2TeAs